(1)
## PmPrTm2 (GGA-PBE)

Data for a relaxed structure of PmPrTm2.

a = 3.6072 Å, b = 3.6072 Å, c = 34.7563 Å
α = 90.00°, β = 90.00°, γ = 120.00°
With the nearest neighbours (Å) after each atom.
Fractional positions:
Pm1 0.0000 0.0000 0.0000  6 Tm 3.55-3.58, 6 Pm 3.61
Pm2 0.3333 0.6667 0.6667  6 Tm 3.55-3.58, 6 Pm 3.61
Pm3 0.6667 0.3333 0.3333  6 Tm 3.55-3.58, 6 Pm 3.61
Pr1 0.0000 0.0000 0.1660  6 Tm 3.57-3.58, 6 Pr 3.61
Pr2 0.3333 0.6667 0.8327  6 Tm 3.57-3.58, 6 Pr 3.61
Pr3 0.6667 0.3333 0.4993  6 Tm 3.57-3.58, 6 Pr 3.61
Tm1 0.0000 0.0000 0.5831  3 Pm 3.58, 3 Pr 3.58, 6 Tm 3.61
Tm2 0.0000 0.0000 0.7493  3 Pm 3.55, 3 Pr 3.57, 6 Tm 3.61
Tm3 0.3333 0.6667 0.2497  3 Pm 3.58, 3 Pr 3.58, 6 Tm 3.61
Tm4 0.3333 0.6667 0.4159  3 Pm 3.55, 3 Pr 3.57, 6 Tm 3.61
Tm5 0.6667 0.3333 0.0826  3 Pm 3.55, 3 Pr 3.57, 6 Tm 3.61
Tm6 0.6667 0.3333 0.9164  3 Pm 3.58, 3 Pr 3.58, 6 Tm 3.61

Output
E   -55.14 eV per cell
Formation energy   0.023 eV per atom
DOS at the Fermi energy   1.473 states/eV per atom
Space-group type   No. 160

***

(2)
## Pm6Pr16Tm7 (GGA-PBE)

Data for a relaxed structure of Pm6Pr16Tm7.

a = 11.3306 Å, b = 11.3306 Å, c = 11.3306 Å
α = 60.00°, β = 60.00°, γ = 60.00°
With the nearest neighbours (Å) after each atom.
Fractional positions:
Pm1 0.2055 0.2055 0.7945  8 Pr 3.58-3.91
Pm2 0.2055 0.7945 0.2055  8 Pr 3.58-3.91
Pm3 0.2055 0.7945 0.7945  8 Pr 3.58-3.91
Pm4 0.7945 0.2055 0.2055  8 Pr 3.58-3.91
Pm5 0.7945 0.2055 0.7945  8 Pr 3.58-3.91
Pm6 0.7945 0.7945 0.2055  8 Pr 3.58-3.91
Pr1 0.1366 0.6211 0.6211  4 Tm 3.36-3.51, 3 Pr 3.69
Pr2 0.1534 0.1534 0.1534  3 Tm 3.29, 3 Pm 3.58, 3 Pr 3.69
Pr3 0.1534 0.1534 0.5397  3 Tm 3.29, 3 Pm 3.58, 3 Pr 3.69
Pr4 0.1534 0.5397 0.1534  3 Tm 3.29, 3 Pm 3.58, 3 Pr 3.69
Pr5 0.3789 0.3789 0.3789  4 Tm 3.36-3.51, 3 Pr 3.69
Pr6 0.3789 0.3789 0.8634  4 Tm 3.36-3.51, 3 Pr 3.69
Pr7 0.3789 0.8634 0.3789  4 Tm 3.36-3.51, 3 Pr 3.69
Pr8 0.4603 0.8466 0.8466  3 Tm 3.29, 3 Pm 3.58, 3 Pr 3.69
Pr9 0.5397 0.1534 0.1534  3 Tm 3.29, 3 Pm 3.58, 3 Pr 3.69
Pr10 0.6211 0.1366 0.6211  4 Tm 3.36-3.51, 3 Pr 3.69
Pr11 0.6211 0.6211 0.1366  4 Tm 3.36-3.51, 3 Pr 3.69
Pr12 0.6211 0.6211 0.6211  4 Tm 3.36-3.51, 3 Pr 3.69
Pr13 0.8466 0.4603 0.8466  3 Tm 3.29, 3 Pm 3.58, 3 Pr 3.69
Pr14 0.8466 0.8466 0.4603  3 Tm 3.29, 3 Pm 3.58, 3 Pr 3.69
Pr15 0.8466 0.8466 0.8466  3 Tm 3.29, 3 Pm 3.58, 3 Pr 3.69
Pr16 0.8634 0.3789 0.3789  4 Tm 3.36-3.51, 3 Pr 3.69
Tm1 0.0000 0.0000 0.5000  8 Pr 3.29-3.51
Tm2 0.0000 0.5000 0.0000  8 Pr 3.29-3.51
Tm3 0.0000 0.5000 0.5000  8 Pr 3.29-3.51
Tm4 0.5000 0.0000 0.0000  8 Pr 3.29-3.51
Tm5 0.5000 0.0000 0.5000  8 Pr 3.29-3.51
Tm6 0.5000 0.5000 0.0000  8 Pr 3.29-3.51
Tm7 0.5000 0.5000 0.5000  8 Pr 3.36

Output
E   -130.60 eV per cell
Formation energy   0.196 eV per atom
DOS at the Fermi energy   1.852 states/eV per atom
Space-group type   No. 225

***

| no. | calculated volume (A^3/atom) | magnetization (Bohr magnetons per cell) |
| --- | --- | --- |
| 1 | 32.6 | 0.00 |
| 2 | 35.5 | 3.49 |